MgAsAuSe2: optimized geometry, PBEsol.

Computed properties:
Its uncorrected formation energy is 657.5 meV per atom. The total magnetization comes out at 0.000 μB/atom. For the total energy, the calculation gives -3.032 eV per atom.

Unit cell a=4.9118 b=4.8739 c=4.8739 alpha=90.00 beta=90.00 gamma=90.00
With the nearest neighbours (Å) after each atom.
Atoms (fractional coordinates):
Au (0.5000, 0.5000, 0.5000)  4 As 3.45, 8 Se 3.46
As (0.5000, 0.0000, 0.0000)  2 Mg 2.46
Se (0.0000, 0.0000, 0.5000)  2 Mg 2.44
Se (0.0000, 0.5000, 0.0000)  2 Mg 2.44
Mg (0.0000, 0.0000, 0.0000)  4 Se 2.44, 2 As 2.46



MnAsAu: optimized geometry, PBEsol.

Computed properties:
The total magnetization comes out at 0.972 μB/atom. The calculation puts the formation energy at 0.39 eV per formula unit. For the total energy, the calculation gives -6.135 eV per atom.

Unit cell a=3.2011 b=3.2011 c=5.1406 alpha=108.14 beta=108.14 gamma=90.00
With the nearest neighbours (Å) after each atom.
Atoms (fractional coordinates):
Au (0.3272, 0.3272, 0.6545)  5 As 2.74-2.94, 5 Mn 2.83-2.91
As (0.0303, 0.0303, 0.0605)  4 Mn 2.49, 1 Au 2.74
Mn (0.6425, 0.6425, 0.2850)  4 As 2.49



Mn2AsAu: optimized geometry, PBEsol.

Computed properties:
The total magnetization comes out at 1.597 μB/atom. The calculation puts the formation energy at 0.53 eV per formula unit. For the total energy, the calculation gives -7.006 eV per atom.

Unit cell a=3.2164 b=3.2164 c=5.7760 alpha=90.00 beta=90.00 gamma=90.00
With the nearest neighbours (Å) after each atom.
Atoms (fractional coordinates):
Mn (0.5000, 0.5000, 0.2679)  4 As 2.50, 4 Mn 2.72
Mn (0.0000, 0.0000, 0.0099)  1 As 2.53, 4 Au 2.65, 4 Mn 2.72
As (0.0000, 0.0000, 0.4481)  5 Mn 2.50-2.53
Au (0.5000, 0.5000, 0.7741)  6 Mn 2.65-2.92, 4 As 2.95



MnAs2Au: optimized geometry, PBEsol.

Computed properties:
As for the energy relative to the lowest polymorph listed for this composition: 92 meV per atom. The total magnetization comes out at 0.629 μB/atom. The calculation puts the formation energy at 0.58 eV per formula unit. For the total energy, the calculation gives -5.830 eV per atom.

Unit cell a=3.2245 b=3.2716 c=6.0499 alpha=90.00 beta=90.00 gamma=90.00
With the nearest neighbours (Å) after each atom.
Atoms (fractional coordinates):
Mn (0.5000, 0.5000, 0.5000)  8 As 2.65
As (0.0000, 0.0000, 0.2817)  1 As 2.64, 4 Mn 2.65, 4 Au 2.86
As (0.0000, 0.0000, 0.7183)  1 As 2.64, 4 Mn 2.65, 4 Au 2.86
Au (0.5000, 0.5000, 0.0000)  8 As 2.86, 2 Mn 3.02



Mn3AsAu: optimized geometry, PBEsol.

Computed properties:
The total magnetization comes out at 2.490 μB/atom. The calculation puts the formation energy at 5.66 eV per formula unit. For the total energy, the calculation gives -6.531 eV per atom.

Unit cell a=4.7946 b=4.7946 c=4.7946 alpha=90.00 beta=90.00 gamma=90.00
With the nearest neighbours (Å) after each atom.
Atoms (fractional coordinates):
Au (0.0000, 0.0000, 0.0000)  6 Mn 2.40
Mn (0.5000, 0.0000, 0.0000)  2 Au 2.40
Mn (0.0000, 0.0000, 0.5000)  2 Au 2.40
Mn (0.0000, 0.5000, 0.0000)  2 Au 2.40
As (0.5000, 0.5000, 0.5000)  12 Mn 3.39



Mn2AsAu: optimized geometry, PBEsol.

Computed properties:
The total magnetization comes out at 1.699 μB/atom. The calculation puts the formation energy at 0.83 eV per formula unit. For the total energy, the calculation gives -6.932 eV per atom.

Unit cell a=4.3897 b=4.3897 c=4.3897 alpha=60.00 beta=60.00 gamma=60.00
With the nearest neighbours (Å) after each atom.
Atoms (fractional coordinates):
As (0.0000, 0.0000, 0.0000)  8 Mn 2.69
Mn (0.2500, 0.2500, 0.2500)  4 As 2.69, 4 Au 2.69
Mn (0.7500, 0.7500, 0.7500)  4 Au 2.69, 4 As 2.69
Au (0.5000, 0.5000, 0.5000)  8 Mn 2.69



Mn2AsAu: optimized geometry, PBEsol.

Computed properties:
The total magnetization comes out at 1.829 μB/atom. The calculation puts the formation energy at 0.72 eV per formula unit. For the total energy, the calculation gives -6.958 eV per atom.

Unit cell a=3.3991 b=4.2353 c=4.2353 alpha=90.00 beta=90.00 gamma=90.00
With the nearest neighbours (Å) after each atom.
Atoms (fractional coordinates):
Mn (0.0000, 0.5000, 0.0000)  4 As 2.72, 4 Au 2.72, 4 Mn 2.99
Mn (0.0000, 0.0000, 0.5000)  4 As 2.72, 4 Au 2.72, 4 Mn 2.99
As (0.5000, 0.5000, 0.5000)  8 Mn 2.72, 4 Au 2.99
Au (0.5000, 0.0000, 0.0000)  8 Mn 2.72, 4 As 2.99



MnAs2Au: optimized geometry, PBEsol.

Computed properties:
As for the energy relative to the lowest polymorph listed for this composition: 0 meV per atom. The total magnetization comes out at 0.000 μB/atom. The calculation puts the formation energy at 0.21 eV per formula unit. For the total energy, the calculation gives -5.922 eV per atom.

Unit cell a=2.8646 b=2.8554 c=7.7462 alpha=90.00 beta=90.00 gamma=90.00
With the nearest neighbours (Å) after each atom.
Atoms (fractional coordinates):
As (0.5000, 0.0000, 0.3133)  4 Mn 2.49
As (0.5000, 0.0000, 0.6867)  4 Mn 2.49
Au (0.5000, 0.5000, 0.0000)  4 As 2.82, 4 Au 2.86
Mn (0.0000, 0.5000, 0.5000)  8 As 2.49



MnAs2Au: optimized geometry, PBEsol.

Computed properties:
As for the energy relative to the lowest polymorph listed for this composition: 115 meV per atom. The total magnetization comes out at 0.744 μB/atom. The calculation puts the formation energy at 0.67 eV per formula unit. For the total energy, the calculation gives -5.806 eV per atom.

Unit cell a=4.2925 b=4.2925 c=8.3974 alpha=104.81 beta=104.81 gamma=90.00
With the nearest neighbours (Å) after each atom.
Atoms (fractional coordinates):
As (0.6250, 0.5834, 0.7500)  2 Mn 2.40, 2 Au 2.56
As (0.8334, 0.3750, 0.2500)  2 Mn 2.40, 2 Au 2.56
As (0.4166, 0.8750, 0.2500)  2 Mn 2.40, 2 Au 2.56
As (0.1250, 0.1666, 0.7500)  2 Mn 2.40, 2 Au 2.56
Mn (0.5000, 0.5000, 0.0000)  4 As 2.40
Mn (0.7500, 0.2500, 0.5000)  4 As 2.40
Au (0.0000, 0.0000, 0.0000)  4 As 2.56
Au (0.2500, 0.7500, 0.5000)  4 As 2.56



MnAsAuSe2: optimized geometry, PBEsol.

Computed properties:
Its uncorrected formation energy is 475.6 meV per atom. The total magnetization comes out at 0.421 μB/atom. For the total energy, the calculation gives -4.823 eV per atom.

Unit cell a=4.5449 b=4.6574 c=4.6574 alpha=90.00 beta=90.00 gamma=90.00
With the nearest neighbours (Å) after each atom.
Atoms (fractional coordinates):
Mn (0.0000, 0.0000, 0.0000)  2 As 2.27, 4 Se 2.33
Au (0.5000, 0.5000, 0.5000)  8 Se 3.25, 4 As 3.29
As (0.5000, 0.0000, 0.0000)  2 Mn 2.27
Se (0.0000, 0.5000, 0.0000)  2 Mn 2.33
Se (0.0000, 0.0000, 0.5000)  2 Mn 2.33



Mo3AsAu: optimized geometry, PBEsol.

Computed properties:
The total magnetization comes out at 0.001 μB/atom. The calculation puts the formation energy at 6.20 eV per formula unit. For the total energy, the calculation gives -7.626 eV per atom.

Unit cell a=4.5323 b=4.5323 c=4.5323 alpha=90.00 beta=90.00 gamma=90.00
With the nearest neighbours (Å) after each atom.
Atoms (fractional coordinates):
Mo (0.0000, 0.5000, 0.0000)  2 As 2.27
Mo (0.0000, 0.0000, 0.5000)  2 As 2.27
Mo (0.5000, 0.0000, 0.0000)  2 As 2.27
Au (0.5000, 0.5000, 0.5000)  12 Mo 3.20
As (0.0000, 0.0000, 0.0000)  6 Mo 2.27



Mo2AsAu: optimized geometry, PBEsol.

Computed properties:
The total magnetization comes out at 0.001 μB/atom. The calculation puts the formation energy at 2.18 eV per formula unit. For the total energy, the calculation gives -7.596 eV per atom.

Unit cell a=4.4950 b=4.4950 c=4.4950 alpha=60.00 beta=60.00 gamma=60.00
With the nearest neighbours (Å) after each atom.
Atoms (fractional coordinates):
Mo (0.7500, 0.7500, 0.7500)  4 As 2.75, 4 Mo 2.75
Mo (0.0000, 0.0000, 0.0000)  4 Au 2.75, 4 Mo 2.75
As (0.5000, 0.5000, 0.5000)  4 Mo 2.75, 4 Au 2.75
Au (0.2500, 0.2500, 0.2500)  4 As 2.75, 4 Mo 2.75